# 1
Compound: AcNd2CuS5
Source: Alexandria
Functional: PBE
Structure: optimized geometry Values from VASP.

Geometry as Quantum ESPRESSO input:
```
&SYSTEM
  ibrav = 0, nat = 18, ntyp = 4
/
ATOMIC_SPECIES
Ac 227.00 Ac.upf
Nd 144.24 Nd.upf
Cu 63.55 Cu.upf
S 32.06 S.upf
CELL_PARAMETERS angstrom
3.975 0.000 0.000
-1.987 9.655 0.000
0.000 0.000 11.206
ATOMIC_POSITIONS angstrom
Ac 1.987 5.727 5.653
Ac 0.000 3.927 0.050
Nd 1.987 7.587 9.080
Nd 0.000 1.624 7.656
Nd 0.000 2.068 3.477
Nd 1.987 8.031 2.053
Cu 1.987 1.210 10.664
Cu 0.000 8.444 5.062
S 0.000 7.039 0.062
S 1.987 3.142 9.252
S 0.000 9.563 8.770
S 0.000 5.854 7.860
S 1.987 8.656 6.265
S 1.987 2.615 5.665
S 0.000 6.513 3.649
S 1.987 0.092 3.167
S 1.987 3.800 2.257
S 0.000 0.999 0.662
```



# 2
Compound: AcNdCuS4
Source: Alexandria
Functional: PBE
Structure: optimized geometry Values from VASP.

Geometry as Quantum ESPRESSO input:
```
&SYSTEM
  ibrav = 0, nat = 14, ntyp = 4
/
ATOMIC_SPECIES
Ac 227.00 Ac.upf
Nd 144.24 Nd.upf
Cu 63.55 Cu.upf
S 32.06 S.upf
CELL_PARAMETERS angstrom
-4.443 -2.544 4.570
0.100 -5.114 -2.750
7.657 -1.425 2.929
ATOMIC_POSITIONS angstrom
Ac 3.962 -7.023 4.007
Ac -0.648 -2.060 0.742
Nd 0.143 -6.340 2.597
Nd 3.170 -2.744 2.152
Cu 1.396 -4.909 -0.019
Cu 1.917 -4.175 4.768
S 5.697 -3.710 0.829
S -2.431 -2.938 5.229
S -2.383 -5.373 3.920
S 5.745 -6.146 -0.480
S -0.893 -5.102 0.256
S 4.207 -3.982 4.493
S 2.748 -5.762 1.618
S 0.566 -3.321 3.131
```



no.,total DFT energy (no corrections) (eV per atom),formation energy without anion corrections (eV/f.u.)
1,-5.973,-15.379
2,-5.782,-10.994